Here is YScCu2 after structural relaxation from Alexandria. Energies are from GGA-PBE.

POSCAR file:
```
YScCu2
1.0
3.346 0.000 0.000
0.000 3.378 0.000
0.000 0.000 6.768
Y Sc Cu
1 1 2
Direct
0.000 0.000 0.000
0.000 0.000 0.500
0.500 0.500 0.280
0.500 0.500 0.720
```

Summary:
ΔH_f (0 K)	-1.0	eV per formula unit
density of states at the Fermi level	1.820	states/eV/cell
crystal system	orthorhombic
total magnetic moment	0.0	μB/cell
space group	Pmmm, No. 47

Here is YSc2Cu after structural relaxation from Alexandria. Energies are from GGA-PBE.

POSCAR file:
```
YSc2Cu
1.0
3.312 0.000 0.000
0.000 3.312 0.000
0.000 0.000 8.370
Y Sc Cu
1 2 1
Direct
0.000 0.000 0.000
0.500 0.500 0.310
0.500 0.500 0.690
0.000 0.000 0.500
```

Summary:
ΔH_f (0 K)	-0.3	eV per formula unit
density of states at the Fermi level	6.735	states/eV/cell
crystal system	tetragonal
total magnetic moment	0.0	μB/cell
space group	P4/mmm, No. 123

Here is YSc2Cu2 after structural relaxation from Alexandria. Energies are from GGA-PBE.

POSCAR file:
```
YSc2Cu2
1.0
7.583 0.000 0.000
0.000 7.583 0.000
0.000 0.000 3.568
Y Sc Cu
2 4 4
Direct
0.000 0.000 0.000
0.500 0.500 0.000
0.160 0.340 0.500
0.340 0.840 0.500
0.660 0.160 0.500
0.840 0.660 0.500
0.123 0.623 0.000
0.377 0.123 0.000
0.623 0.877 0.000
0.877 0.377 0.000
```

Summary:
ΔH_f (0 K)	-0.7	eV per formula unit
density of states at the Fermi level	14.674	states/eV/cell
crystal system	tetragonal
total magnetic moment	0.0	μB/cell
space group	P4/mbm, No. 127

Here is Y2Sc3Cu4 after structural relaxation from Alexandria. Energies are from GGA-PBE.

POSCAR file:
```
Y2Sc3Cu4
1.0
7.086 0.000 0.000
0.000 7.053 0.000
-2.527 0.000 7.371
Y Sc Cu
4 6 8
Direct
0.193 0.167 0.085
0.193 0.333 0.585
0.807 0.667 0.415
0.807 0.833 0.915
0.244 0.655 0.250
0.244 0.845 0.750
0.500 0.000 0.500
0.500 0.500 0.000
0.756 0.155 0.250
0.756 0.345 0.750
0.094 0.548 0.886
0.094 0.952 0.386
0.487 0.628 0.616
0.487 0.872 0.116
0.513 0.128 0.884
0.513 0.372 0.384
0.906 0.048 0.614
0.906 0.452 0.114
```

Summary:
ΔH_f (0 K)	-1.8	eV per formula unit
density of states at the Fermi level	17.973	states/eV/cell
crystal system	monoclinic
total magnetic moment	0.0	μB/cell
space group	P2_1/c, No. 14

Here is Y2ScCu after structural relaxation from Alexandria. Energies are from GGA-PBE.

POSCAR file:
```
Y2ScCu
1.0
0.000 3.661 3.661
3.661 0.000 3.661
3.661 3.661 0.000
Y Sc Cu
2 1 1
Direct
0.250 0.250 0.250
0.750 0.750 0.750
0.000 0.000 0.000
0.500 0.500 0.500
```

Summary:
ΔH_f (0 K)	0.5	eV per formula unit
density of states at the Fermi level	2.991	states/eV/cell
crystal system	cubic
total magnetic moment	0.0	μB/cell
space group	Fm-3m, No. 225

Here is YScCu after structural relaxation from Alexandria. Energies are from GGA-PBE.

POSCAR file:
```
YScCu
1.0
0.000 3.313 3.313
3.313 0.000 3.313
3.313 3.313 0.000
Y Sc Cu
1 1 1
Direct
0.000 0.000 0.000
0.250 0.250 0.250
0.750 0.750 0.750
```

Summary:
ΔH_f (0 K)	2.2	eV per formula unit
density of states at the Fermi level	3.702	states/eV/cell
crystal system	cubic
total magnetic moment	0.0	μB/cell
space group	F-43m, No. 216

Here is YSc2Cu after structural relaxation from Alexandria. Energies are from GGA-PBE.

POSCAR file:
```
YSc2Cu
1.0
3.032 -5.355 0.000
3.032 5.355 0.000
-1.574 0.000 2.843
Y Sc Cu
1 2 1
Direct
0.000 0.000 0.000
0.000 0.500 0.500
0.500 0.000 0.500
0.500 0.500 0.000
```

Summary:
ΔH_f (0 K)	0.7	eV per formula unit
density of states at the Fermi level	5.978	states/eV/cell
crystal system	monoclinic
total magnetic moment	0.0	μB/cell
space group	C2/m, No. 12

Here is YSc2Cu after structural relaxation from Alexandria. Energies are from GGA-PBE.

POSCAR file:
```
YSc2Cu
1.0
0.000 3.558 3.558
3.558 0.000 3.558
3.558 3.558 0.000
Y Sc Cu
1 2 1
Direct
0.000 0.000 0.000
0.500 0.500 0.500
0.750 0.750 0.750
0.250 0.250 0.250
```

Summary:
ΔH_f (0 K)	0.5	eV per formula unit
density of states at the Fermi level	5.203	states/eV/cell
crystal system	cubic
total magnetic moment	0.0	μB/cell
space group	F-43m, No. 216